Here is a relaxed Nb2CoIr crystal from Alexandria. Energies are from PBE.

E_form   -286 meV/atom
Crystal system   tetragonal
Fermi-level density of states   3.90 states/eV per cell
VASP energy   -9.31 eV per atom
SG   No. 123

Structure (extended XYZ):
```
4
Lattice="-2.967 -1.639 -1.752 -1.522 -1.042 3.554 -2.005 3.463 0.157" Properties=species:S:1:pos:R:3 pbc="T T T"
Nb -1.002 1.731 0.078
Nb -0.761 -0.521 1.777
Ir -3.247 0.391 0.979
Co -1.484 -0.819 -0.876
```